Entry 1:
VASP calculation (PBE) on a relaxed Nd2LuTi crystal.

Properties
DOS at the Fermi energy: 1.66 states/eV/atom
Formation energy from the elements: 1.79 eV/f.u.
E above lowest polymorph: 0.2230 eV/atom
V: 29.25 A^3/atom

Lattice parameters (Å, degrees): 3.3802 3.3802 35.4755 90.00 90.00 120.00
Space group R-3m (No. 166, hexagonal axes)
Inequivalent atoms, fractional coordinates:
Nd 0.0000 0.0000 0.0833 x6
Lu 0.0000 0.0000 0.5000 x3
Ti 0.0000 0.0000 0.0000 x3



Entry 2:
VASP calculation (PBE) on a relaxed Nd2LuTl crystal.

Properties
DOS at the Fermi energy: 1.24 states/eV/atom
Formation energy from the elements: -0.75 eV/f.u.
E above lowest polymorph: 0.0000 eV/atom
V: 29.84 A^3/atom

Lattice parameters (Å, degrees): 4.889 4.889 4.994 90.00 90.00 90.00
Space group P4/mmm (No. 123)
Inequivalent atoms, fractional coordinates:
Nd 0.000 0.500 0.000 x2
Lu 0.000 0.000 0.500 x1
Tl 0.500 0.500 0.500 x1



Entry 3:
VASP calculation (PBE) on a relaxed Nd2LuTl crystal.

Properties
DOS at the Fermi energy: 1.71 states/eV/atom
Formation energy from the elements: -0.30 eV/f.u.
E above lowest polymorph: 0.1110 eV/atom
V: 30.37 A^3/atom

Lattice parameters (Å, degrees): 7.862 7.862 7.862 90.00 90.00 90.00
Space group Fm-3m (No. 225)
Inequivalent atoms, fractional coordinates:
Nd 0.250 0.250 0.250 x8
Lu 0.000 0.000 0.000 x4
Tl 0.000 0.000 0.500 x4



Entry 4:
VASP calculation (PBE) on a relaxed Nd2LuTl crystal.

Properties
DOS at the Fermi energy: 1.70 states/eV/atom
Formation energy from the elements: -0.53 eV/f.u.
E above lowest polymorph: 0.0527 eV/atom
V: 31.55 A^3/atom

Lattice parameters (Å, degrees): 3.629 3.629 9.583 90.00 90.00 90.00
Space group P4/mmm (No. 123)
Inequivalent atoms, fractional coordinates:
Nd 0.000 0.000 0.235 x2
Lu 0.500 0.500 0.500 x1
Tl 0.500 0.500 0.000 x1



Entry 5:
VASP calculation (PBE) on a relaxed NdYLuTl crystal.

Properties
DOS at the Fermi energy: 1.47 states/eV/atom
Formation energy from the elements: -0.27 eV/f.u.
V: 29.50 A^3/atom

Lattice parameters (Å, degrees): 7.786 7.786 7.786 90.00 90.00 90.00
Space group F-43m (No. 216)
Inequivalent atoms, fractional coordinates:
Nd 0.000 0.000 0.000 x4
Y 0.000 0.000 0.500 x4
Lu 0.250 0.250 0.750 x4
Tl 0.250 0.250 0.250 x4



Entry 6:
VASP calculation (PBE) on a relaxed NdLuTlZn crystal.

Properties
DOS at the Fermi energy: 0.97 states/eV/atom
Formation energy from the elements: -1.20 eV/f.u.
V: 25.87 A^3/atom

Lattice parameters (Å, degrees): 7.453 7.453 7.453 90.00 90.00 90.00
Space group F-43m (No. 216)
Inequivalent atoms, fractional coordinates:
Nd 0.000 0.000 0.000 x4
Lu 0.000 0.000 0.500 x4
Tl 0.250 0.250 0.250 x4
Zn 0.250 0.250 0.750 x4



Entry 7:
VASP calculation (PBE) on a relaxed NdTmLu2 crystal.

Properties
DOS at the Fermi energy: 1.48 states/eV/atom
Formation energy from the elements: 0.39 eV/f.u.
E above lowest polymorph: 0.0654 eV/atom
V: 31.41 A^3/atom

Lattice parameters (Å, degrees): 4.004 4.004 7.838 90.00 90.00 90.00
Space group P4/mmm (No. 123)
Inequivalent atoms, fractional coordinates:
Nd 0.000 0.000 0.000 x1
Tm 0.000 0.000 0.500 x1
Lu 0.500 0.500 0.264 x2



Entry 8:
VASP calculation (PBE) on a relaxed NdTm2Lu crystal.

Properties
DOS at the Fermi energy: 1.70 states/eV/atom
Formation energy from the elements: 0.43 eV/f.u.
E above lowest polymorph: 0.0758 eV/atom
V: 31.84 A^3/atom

Lattice parameters (Å, degrees): 3.954 3.954 8.145 90.00 90.00 90.00
Space group P4/mmm (No. 123)
Inequivalent atoms, fractional coordinates:
Nd 0.000 0.000 0.000 x1
Tm 0.500 0.500 0.271 x2
Lu 0.000 0.000 0.500 x1



Entry 9:
VASP calculation (PBE) on a relaxed NdTm2Lu crystal.

Properties
DOS at the Fermi energy: 1.53 states/eV/atom
Formation energy from the elements: 0.12 eV/f.u.
E above lowest polymorph: 0.0000 eV/atom
V: 31.07 A^3/atom

Lattice parameters (Å, degrees): 4.983 4.983 5.006 90.00 90.00 90.00
Space group P4/mmm (No. 123)
Inequivalent atoms, fractional coordinates:
Nd 0.000 0.000 0.000 x1
Tm 0.000 0.500 0.500 x2
Lu 0.500 0.500 0.000 x1



Entry 10:
VASP calculation (PBE) on a relaxed NdTm2Lu crystal.

Properties
DOS at the Fermi energy: 1.51 states/eV/atom
Formation energy from the elements: 0.12 eV/f.u.
E above lowest polymorph: 0.0000 eV/atom
V: 31.05 A^3/atom

Lattice parameters (Å, degrees): 3.5364 3.5364 34.4031 90.00 90.00 120.00
Space group R-3m (No. 166, hexagonal axes)
Inequivalent atoms, fractional coordinates:
Nd 0.0000 0.0000 0.0000 x3
Tm 0.0000 0.0000 0.2480 x6
Lu 0.0000 0.0000 0.5000 x3



Entry 11:
VASP calculation (PBE) on a relaxed NdTmLu2 crystal.

Properties
DOS at the Fermi energy: 1.57 states/eV/atom
Formation energy from the elements: 0.13 eV/f.u.
E above lowest polymorph: 0.0000 eV/atom
V: 30.90 A^3/atom

Lattice parameters (Å, degrees): 4.991 4.991 4.962 90.00 90.00 90.00
Space group P4/mmm (No. 123)
Inequivalent atoms, fractional coordinates:
Nd 0.000 0.000 0.000 x1
Tm 0.500 0.500 0.000 x1
Lu 0.000 0.500 0.500 x2



Entry 12:
VASP calculation (PBE) on a relaxed NdTmLu crystal.

Properties
DOS at the Fermi energy: 1.49 states/eV/atom
Formation energy from the elements: 0.09 eV/f.u.
E above lowest polymorph: 0.0000 eV/atom
V: 31.53 A^3/atom

Lattice parameters (Å, degrees): 3.542 3.542 15.079 90.00 90.00 90.00
Space group I4mm (No. 107)
Inequivalent atoms, fractional coordinates:
Nd 0.000 0.000 0.000 x2
Tm 0.000 0.000 0.330 x2
Lu 0.000 0.000 0.669 x2